6
Lattice="4.737 0.000 0.000 -2.369 4.102 0.000 0.000 0.000 4.314" Properties=species:S:1:pos:R:3 comment="Tc5Ni PBE optimized geometry" total_energy_ev_per_atom=-9.63 spacegroup="No. 189" magnetic_moment_mub_per_fu=0.00 de_polymorph_ev_per_atom=0.000 formation_energy_ev_per_atom=-0.028 pbc="T T T"
Tc -1.597 2.766 0.000
Tc 0.771 1.336 0.000
Tc 0.000 2.735 2.157
Tc 2.369 1.367 2.157
Tc 3.194 0.000 0.000
Ni 0.000 0.000 2.157